Entry 1:
Computed, not measured: a relaxed structure of NaRu3N at the PBE level of DFT.

Lattice parameters (Å, degrees): 4.596 4.596 4.596 90.00 90.00 90.00
Each line ends with the local moment (μB).
Fractional coordinates of all 5 atoms:
1 Ru 0.000 0.500 0.000  2.36
2 Ru 0.000 0.000 0.500  2.15
3 Ru 0.500 0.000 0.000  2.25
4 N 0.500 0.500 0.500  -0.67
5 Na 0.000 0.000 0.000  0.00

Results
magnetization	6.2	μB per formula unit
final energy	-3.951	eV/atom
formation energy without anion corrections	3.54	eV per atom

Entry 2:
Computed, not measured: a relaxed structure of NaRuS2N at the PBE level of DFT.

Lattice parameters (Å, degrees): 4.914 4.914 3.687 90.00 90.00 90.00
Each line ends with the local moment (μB).
Fractional coordinates of all 5 atoms:
1 Ru 0.000 0.000 0.000  0.60
2 S 0.000 0.500 0.000  0.20
3 S 0.500 0.000 0.000  0.20
4 N 0.000 0.000 0.500  0.00
5 Na 0.500 0.500 0.500  0.00

Results
magnetization	1.3	μB per formula unit
relative energy among the computed polymorphs	0.000	eV/atom
final energy	-5.339	eV/atom
formation energy without anion corrections	0.10	eV per atom

Entry 3:
Computed, not measured: a relaxed structure of NaRuS2N at the PBE level of DFT.

Lattice parameters (Å, degrees): 4.911 4.911 4.054 90.00 90.00 90.00
Each line ends with the local moment (μB).
Fractional coordinates of all 5 atoms:
1 Ru 0.500 0.500 0.500  -2.78
2 S 0.000 0.500 0.000  -0.17
3 S 0.500 0.000 0.000  -0.17
4 N 0.000 0.000 0.500  -1.69
5 Na 0.000 0.000 0.000  -0.04

Results
magnetization	6.0	μB per formula unit
relative energy among the computed polymorphs	1.830	eV/atom
final energy	-3.509	eV/atom
formation energy without anion corrections	1.93	eV per atom

Entry 4:
Computed, not measured: a relaxed structure of NaRuSe2N at the PBE level of DFT.

Lattice parameters (Å, degrees): 5.220 5.220 3.663 90.00 90.00 90.00
Each line ends with the local moment (μB).
Fractional coordinates of all 5 atoms:
1 Ru 0.000 0.000 0.000  0.38
2 N 0.000 0.000 0.500  -0.01
3 Se 0.000 0.500 0.000  0.12
4 Se 0.500 0.000 0.000  0.12
5 Na 0.500 0.500 0.500  0.00

Results
magnetization	0.8	μB per formula unit
relative energy among the computed polymorphs	0.000	eV/atom
final energy	-5.128	eV/atom
formation energy without anion corrections	0.05	eV per atom

Entry 5:
Computed, not measured: a relaxed structure of NaRuSeN2 at the PBE level of DFT.

Lattice parameters (Å, degrees): 3.837 3.837 5.442 90.00 90.00 90.00
Each line ends with the local moment (μB).
Fractional coordinates of all 5 atoms:
1 Ru 0.000 0.000 0.000  -0.06
2 N 0.000 0.500 0.000  0.13
3 N 0.500 0.000 0.000  0.13
4 Se 0.000 0.000 0.500  0.00
5 Na 0.500 0.500 0.500  0.00

Results
magnetization	0.3	μB per formula unit
relative energy among the computed polymorphs	0.000	eV/atom
final energy	-5.708	eV/atom
formation energy without anion corrections	0.44	eV per atom

Entry 6:
Computed, not measured: a relaxed structure of NaRuSeN2 at the PBE level of DFT.

Lattice parameters (Å, degrees): 3.975 3.975 4.926 90.00 90.00 90.00
Fractional coordinates of all 5 atoms:
1 Ru 0.500 0.500 0.500
2 N 0.000 0.500 0.000
3 N 0.500 0.000 0.000
4 Se 0.000 0.000 0.500
5 Na 0.000 0.000 0.000

Results
magnetization	0.0	μB per formula unit
relative energy among the computed polymorphs	2.168	eV/atom
final energy	-3.541	eV/atom
formation energy without anion corrections	2.61	eV per atom

Entry 7:
Computed, not measured: a relaxed structure of NaRuSe2N at the PBE level of DFT.

Lattice parameters (Å, degrees): 5.108 5.108 4.052 90.00 90.00 90.00
Each line ends with the local moment (μB).
Fractional coordinates of all 5 atoms:
1 Ru 0.500 0.500 0.500  2.47
2 N 0.000 0.000 0.500  1.64
3 Se 0.000 0.500 0.000  0.13
4 Se 0.500 0.000 0.000  0.13
5 Na 0.000 0.000 0.000  0.04

Results
magnetization	5.4	μB per formula unit
relative energy among the computed polymorphs	1.742	eV/atom
final energy	-3.386	eV/atom
formation energy without anion corrections	1.79	eV per atom

Entry 8:
Computed, not measured: a relaxed structure of NaTh2RuN4 at the PBE level of DFT.

Lattice parameters (Å, degrees): 3.652 6.499 12.555 90.00 90.00 106.32
Fractional coordinates of all 16 atoms:
1 Na 0.078 0.157 0.750
2 Na 0.922 0.843 0.250
3 Th 0.368 0.735 0.553
4 Th 0.632 0.265 0.053
5 Th 0.632 0.265 0.447
6 Th 0.368 0.735 0.947
7 Ru 0.788 0.576 0.750
8 Ru 0.212 0.424 0.250
9 N 0.250 0.499 0.096
10 N 0.750 0.501 0.596
11 N 0.750 0.501 0.904
12 N 0.250 0.499 0.404
13 N 0.000 0.000 0.500
14 N 0.000 0.000 0.000
15 N 0.354 0.707 0.750
16 N 0.646 0.293 0.250

Results
magnetization	0.0	μB per formula unit
final energy	-8.152	eV/atom
formation energy without anion corrections	-0.81	eV per atom

Entry 9:
Computed, not measured: a relaxed structure of Na4U3RuN8 at the PBE level of DFT.

Lattice parameters (Å, degrees): 6.763 6.885 6.763 119.42 120.00 90.00
Fractional coordinates of all 16 atoms:
1 Na 0.500 0.000 0.000
2 Na 0.500 0.000 0.500
3 Na 0.000 0.000 0.000
4 Na 0.000 0.000 0.500
5 U 0.500 0.500 0.000
6 U 0.500 0.500 0.500
7 U 0.000 0.500 0.500
8 Ru 0.000 0.500 0.000
9 N 0.236 0.687 0.952
10 N 0.236 0.687 0.472
11 N 0.271 0.312 0.541
12 N 0.716 0.687 0.952
13 N 0.284 0.313 0.048
14 N 0.729 0.688 0.459
15 N 0.764 0.313 0.528
16 N 0.764 0.313 0.048

Results
magnetization	0.0	μB per formula unit
final energy	-7.966	eV/atom
formation energy without anion corrections	-0.78	eV per atom

Entry 10:
Computed, not measured: a relaxed structure of Na2SN2 at the PBE level of DFT.

Lattice parameters (Å, degrees): 4.426 7.540 10.787 45.70 78.16 72.93
Fractional coordinates of all 10 atoms:
1 Na 0.311 0.945 0.918
2 Na 0.827 0.445 0.418
3 Na 0.689 0.055 0.082
4 Na 0.173 0.555 0.582
5 S 0.257 0.750 0.250
6 S 0.743 0.250 0.750
7 N 0.376 0.057 0.481
8 N 0.914 0.443 0.019
9 N 0.624 0.943 0.519
10 N 0.086 0.557 0.981

Results
magnetization	0.0	μB per formula unit
final energy	-5.228	eV/atom
formation energy without anion corrections	-0.54	eV per atom

Entry 11:
Computed, not measured: a relaxed structure of NaS3N at the PBE level of DFT.

Lattice parameters (Å, degrees): 2.846 10.344 9.221 125.30 98.88 90.00
Fractional coordinates of all 10 atoms:
1 Na 0.118 0.883 0.236
2 Na 0.882 0.117 0.764
3 S 0.912 0.642 0.824
4 S 0.088 0.358 0.176
5 S 0.693 0.739 0.387
6 S 0.307 0.261 0.613
7 S 0.695 0.177 0.390
8 S 0.305 0.823 0.610
9 N 0.475 0.717 0.950
10 N 0.525 0.283 0.050

Results
magnetization	0.0	μB per formula unit
relative energy among the computed polymorphs	0.000	eV/atom
final energy	-4.147	eV/atom
formation energy without anion corrections	0.26	eV per atom

Entry 12:
Computed, not measured: a relaxed structure of NaSN2 at the PBE level of DFT.

Lattice parameters (Å, degrees): 6.763 6.763 6.763 24.43 24.43 24.43
Fractional coordinates of all 4 atoms:
1 Na 0.000 0.000 0.000
2 S 0.500 0.500 0.500
3 N 0.885 0.885 0.885
4 N 0.115 0.115 0.115

Results
magnetization	0.0	μB per formula unit
final energy	-4.460	eV/atom
formation energy without anion corrections	1.06	eV per atom

Entry 13:
Computed, not measured: a relaxed structure of NaSN2 at the PBE level of DFT.

Lattice parameters (Å, degrees): 6.080 6.080 6.080 36.76 36.76 36.76
Each line ends with the local moment (μB).
Fractional coordinates of all 4 atoms:
1 Na 0.500 0.500 0.500  0.00
2 S 0.000 0.000 0.000  0.04
3 N 0.912 0.912 0.912  0.09
4 N 0.088 0.088 0.088  0.09

Results
magnetization	0.4	μB per formula unit
final energy	-4.988	eV/atom
formation energy without anion corrections	0.54	eV per atom

Entry 14:
Computed, not measured: a relaxed structure of NaS3N at the PBE level of DFT.

Lattice parameters (Å, degrees): 4.225 4.225 4.225 90.00 90.00 90.00
Fractional coordinates of all 5 atoms:
1 Na 0.500 0.500 0.500
2 S 0.000 0.500 0.000
3 S 0.000 0.000 0.500
4 S 0.500 0.000 0.000
5 N 0.000 0.000 0.000

Results
magnetization	0.0	μB per formula unit
relative energy among the computed polymorphs	0.473	eV/atom
final energy	-3.674	eV/atom
formation energy without anion corrections	0.73	eV per atom

Entry 15:
Computed, not measured: a relaxed structure of NaS3N at the PBE level of DFT.

Lattice parameters (Å, degrees): 5.402 5.402 5.402 90.00 90.00 90.00
Each line ends with the local moment (μB).
Fractional coordinates of all 5 atoms:
1 Na 0.000 0.000 0.000  0.00
2 S 0.000 0.500 0.000  1.03
3 S 0.000 0.000 0.500  1.03
4 S 0.500 0.000 0.000  1.03
5 N 0.500 0.500 0.500  1.91

Results
magnetization	8.0	μB per formula unit
relative energy among the computed polymorphs	1.703	eV/atom
final energy	-2.444	eV/atom
formation energy without anion corrections	1.96	eV per atom

Entry 16:
Computed, not measured: a relaxed structure of NaSN2 at the PBE level of DFT.

Lattice parameters (Å, degrees): 5.072 5.072 5.367 61.80 61.80 90.00
Fractional coordinates of all 8 atoms:
1 Na 0.500 0.500 0.000
2 Na 0.250 0.750 0.500
3 S 0.000 0.000 0.000
4 S 0.750 0.250 0.500
5 N 0.742 0.125 0.250
6 N 0.008 0.625 0.250
7 N 0.375 0.258 0.750
8 N 0.875 0.992 0.750

Results
magnetization	0.0	μB per formula unit
final energy	-4.815	eV/atom
formation energy without anion corrections	0.71	eV per atom

Entry 17:
Computed, not measured: a relaxed structure of Na5S2N2 at the PBE level of DFT.

Lattice parameters (Å, degrees): 5.406 5.239 9.384 73.79 89.90 90.00
Each line ends with the local moment (μB).
Fractional coordinates of all 9 atoms:
1 Na 0.000 0.692 0.616  0.00
2 Na 0.000 0.308 0.384  0.00
3 Na 0.500 0.843 0.314  0.00
4 Na 0.500 0.157 0.686  0.00
5 Na 0.000 0.000 0.000  0.01
6 S 0.000 0.851 0.299  0.01
7 S 0.000 0.149 0.701  0.01
8 N 0.395 0.500 0.999  0.09
9 N 0.605 0.500 0.001  0.09

Results
magnetization	0.4	μB per formula unit
final energy	-4.085	eV/atom
formation energy without anion corrections	-0.59	eV per atom

Entry 18:
Computed, not measured: a relaxed structure of Na2S4N3 at the PBE level of DFT.

Lattice parameters (Å, degrees): 8.375 8.375 5.020 90.00 90.00 103.67
Each line ends with the local moment (μB).
Fractional coordinates of all 18 atoms:
1 Na 0.757 0.485 0.500  0.00
2 Na 0.485 0.757 0.000  0.00
3 Na 0.243 0.515 0.500  0.00
4 Na 0.515 0.243 0.000  0.00
5 S 0.186 0.902 0.500  0.01
6 S 0.902 0.186 0.000  0.01
7 S 0.814 0.098 0.500  0.01
8 S 0.098 0.814 0.000  0.01
9 S 0.886 0.631 0.000  0.19
10 S 0.631 0.886 0.500  0.19
11 S 0.114 0.369 0.000  0.19
12 S 0.369 0.114 0.500  0.19
13 N 0.783 0.217 0.250  0.04
14 N 0.217 0.783 0.250  0.04
15 N 0.217 0.783 0.750  0.04
16 N 0.783 0.217 0.750  0.04
17 N 0.500 0.500 0.750  1.10
18 N 0.500 0.500 0.250  1.10

Results
magnetization	2.4	μB per formula unit
final energy	-4.422	eV/atom
formation energy without anion corrections	0.48	eV per atom

Entry 19:
Computed, not measured: a relaxed structure of Na5S3N2 at the PBE level of DFT.

Lattice parameters (Å, degrees): 8.637 7.081 8.202 120.54 87.16 89.99
Each line ends with the local moment (μB).
Fractional coordinates of all 20 atoms:
1 Na 0.530 0.215 0.981  0.00
2 Na 0.054 0.026 0.190  0.00
3 Na 0.470 0.785 0.019  0.00
4 Na 0.946 0.974 0.810  0.00
5 Na 0.815 0.575 0.999  0.00
6 Na 0.185 0.425 0.001  0.00
7 Na 0.728 0.429 0.392  0.01
8 Na 0.272 0.571 0.608  0.01
9 Na 0.757 0.956 0.403  0.01
10 Na 0.243 0.044 0.597  0.01
11 S 0.582 0.351 0.705  0.27
12 S 0.014 0.657 0.406  0.27
13 S 0.418 0.649 0.295  0.27
14 S 0.986 0.343 0.594  0.27
15 S 0.257 0.990 0.914  0.04
16 S 0.743 0.010 0.086  0.04
17 N 0.014 0.729 0.248  0.59
18 N 0.396 0.381 0.749  0.60
19 N 0.986 0.271 0.752  0.59
20 N 0.604 0.619 0.251  0.60

Results
magnetization	3.0	μB per formula unit
final energy	-3.907	eV/atom
formation energy without anion corrections	-0.34	eV per atom

Entry 20:
Computed, not measured: a relaxed structure of NaSN2 at the PBE level of DFT.

Lattice parameters (Å, degrees): 5.162 5.162 6.281 87.65 87.65 32.87
Each line ends with the local moment (μB).
Fractional coordinates of all 4 atoms:
1 Na 0.709 0.709 0.372  0.00
2 S 0.441 0.441 0.374  0.15
3 N 0.177 0.177 0.965  0.00
4 N 0.173 0.173 0.789  0.00

Results
magnetization	0.3	μB per formula unit
final energy	-5.650	eV/atom
formation energy without anion corrections	-0.13	eV per atom

Entry 21:
Computed, not measured: a relaxed structure of NaSN at the PBE level of DFT.

Lattice parameters (Å, degrees): 5.587 4.509 4.470 90.00 69.13 90.00
Fractional coordinates of all 6 atoms:
1 Na 0.278 0.250 0.428
2 Na 0.722 0.750 0.572
3 N 0.129 0.250 0.000
4 N 0.871 0.750 0.000
5 S 0.823 0.250 0.029
6 S 0.177 0.750 0.971

Results
magnetization	0.0	μB per formula unit
final energy	-4.306	eV/atom
formation energy without anion corrections	0.28	eV per atom

Entry 22:
Computed, not measured: a relaxed structure of Na3SN at the PBE level of DFT.

Lattice parameters (Å, degrees): 4.635 4.635 4.635 90.00 90.00 90.00
Each line ends with the local moment (μB).
Fractional coordinates of all 5 atoms:
1 Na 0.000 0.500 0.000  0.01
2 Na 0.000 0.000 0.500  0.01
3 Na 0.500 0.000 0.000  -0.01
4 S 0.500 0.500 0.500  0.28
5 N 0.000 0.000 0.000  1.00

Results
magnetization	2.0	μB per formula unit
relative energy among the computed polymorphs	0.000	eV/atom
final energy	-3.252	eV/atom
formation energy without anion corrections	0.03	eV per atom

Entry 23:
Computed, not measured: a relaxed structure of NaSbSN2 at the PBE level of DFT.

Lattice parameters (Å, degrees): 4.315 4.315 5.063 90.00 90.00 90.00
Each line ends with the local moment (μB).
Fractional coordinates of all 5 atoms:
1 Sb 0.500 0.500 0.500  -0.27
2 S 0.000 0.000 0.500  0.22
3 N 0.000 0.500 0.000  1.46
4 N 0.500 0.000 0.000  1.46
5 Na 0.000 0.000 0.000  0.03

Results
magnetization	4.0	μB per formula unit
relative energy among the computed polymorphs	0.995	eV/atom
final energy	-3.465	eV/atom
formation energy without anion corrections	1.78	eV per atom

Entry 24:
Computed, not measured: a relaxed structure of NaSbSN2 at the PBE level of DFT.

Lattice parameters (Å, degrees): 4.148 4.148 5.204 90.00 90.00 90.00
Each line ends with the local moment (μB).
Fractional coordinates of all 5 atoms:
1 Sb 0.000 0.000 0.000  -0.05
2 S 0.000 0.000 0.500  0.18
3 N 0.000 0.500 0.000  0.71
4 N 0.500 0.000 0.000  0.71
5 Na 0.500 0.500 0.500  0.00

Results
magnetization	2.3	μB per formula unit
relative energy among the computed polymorphs	0.000	eV/atom
final energy	-4.460	eV/atom
formation energy without anion corrections	0.78	eV per atom

Entry 25:
Computed, not measured: a relaxed structure of NaSeSN2 at the PBE level of DFT.

Lattice parameters (Å, degrees): 3.976 3.976 5.055 90.00 90.00 90.00
Each line ends with the local moment (μB).
Fractional coordinates of all 5 atoms:
1 Na 0.500 0.500 0.500  0.00
2 S 0.000 0.000 0.500  0.23
3 Se 0.000 0.000 0.000  -0.05
4 N 0.000 0.500 0.000  0.75
5 N 0.500 0.000 0.000  0.75

Results
magnetization	2.4	μB per formula unit
relative energy among the computed polymorphs	0.000	eV/atom
final energy	-3.947	eV/atom
formation energy without anion corrections	1.17	eV per atom